Arrangement w

Compound: CsGdSeO
Source: OQMD
Functional: PBE
Structure: relaxed

a = 3.871 Å, b = 3.871 Å, c = 15.418 Å
α = 90.00°, β = 90.00°, γ = 120.00°
Element x y z (fractional)
Cs1 0.667 0.333 0.715
Cs2 0.333 0.667 0.285
Se1 0.333 0.667 0.888
Se2 0.667 0.333 0.112
Gd1 0.000 0.000 0.000
Gd2 0.000 0.000 0.500
O1 0.333 0.667 0.568
O2 0.667 0.333 0.432

Total magnetic moment = 0.00 μB/atom
V = 200.05 Å³ per cell


Arrangement x

Compound: CsGdSeO
Source: OQMD
Functional: PBE
Structure: relaxed

a = 3.870 Å, b = 3.870 Å, c = 15.520 Å
α = 90.00°, β = 90.00°, γ = 120.00°
Element x y z (fractional)
O1 0.667 0.333 0.081
O2 0.333 0.667 0.581
Cs1 0.667 0.333 0.742
Cs2 0.333 0.667 0.242
Se1 0.667 0.333 0.405
Se2 0.333 0.667 0.905
Gd1 0.000 0.000 0.522
Gd2 0.000 0.000 0.022

Total magnetic moment = 0.00 μB/atom
V = 201.33 Å³ per cell


Arrangement y

Compound: CsGdSeO
Source: OQMD
Functional: PBE
Structure: relaxed

a = 8.475 Å, b = 7.560 Å, c = 6.819 Å
α = 90.00°, β = 101.34°, γ = 90.00°
Element x y z (fractional)
Gd1 0.480 0.129 0.283
Gd2 0.520 0.629 0.217
Gd3 0.520 0.871 0.717
Gd4 0.480 0.371 0.783
Cs1 0.912 0.283 0.021
Cs2 0.912 0.217 0.521
Cs3 0.088 0.717 0.979
Cs4 0.088 0.783 0.479
O1 0.585 0.146 0.615
O2 0.585 0.354 0.115
O3 0.415 0.646 0.885
O4 0.415 0.854 0.385
Se1 0.736 0.905 0.130
Se2 0.264 0.405 0.370
Se3 0.736 0.595 0.630
Se4 0.264 0.095 0.870

Total magnetic moment = 0.00 μB/atom
V = 428.34 Å³ per cell


arrangement y takes first place; second place is 13.2 kJ/mol of atoms up.


Arrangement w

Compound: CsGdTeO
Source: OQMD
Functional: PBE
Structure: relaxed

a = 3.955 Å, b = 3.955 Å, c = 16.230 Å
α = 90.00°, β = 90.00°, γ = 120.00°
Element x y z (fractional)
Gd1 0.667 0.333 0.201
Gd2 0.667 0.333 0.799
O1 0.333 0.667 0.141
O2 0.333 0.667 0.859
Cs1 0.333 0.667 0.500
Cs2 0.000 0.000 0.000
Te1 0.000 0.000 0.675
Te2 0.000 0.000 0.325

Total magnetic moment = 0.00 μB/atom
V = 219.87 Å³ per cell


Arrangement x

Compound: CsGdTeO
Source: OQMD
Functional: PBE
Structure: relaxed

a = 3.952 Å, b = 3.952 Å, c = 16.246 Å
α = 90.00°, β = 90.00°, γ = 120.00°
Element x y z (fractional)
Gd1 0.000 0.000 0.029
Gd2 0.000 0.000 0.529
O1 0.333 0.667 0.583
O2 0.667 0.333 0.083
Cs1 0.333 0.667 0.236
Cs2 0.667 0.333 0.736
Te1 0.333 0.667 0.903
Te2 0.667 0.333 0.403

Total magnetic moment = 0.00 μB/atom
V = 219.70 Å³ per cell


Arrangement y

Compound: CsGdTeO
Source: OQMD
Functional: PBE
Structure: relaxed

a = 3.950 Å, b = 3.950 Å, c = 16.200 Å
α = 90.00°, β = 90.00°, γ = 120.00°
Element x y z (fractional)
Te1 0.333 0.667 0.379
Te2 0.667 0.333 0.621
O1 0.667 0.333 0.936
O2 0.333 0.667 0.064
Gd1 0.000 0.000 0.500
Gd2 0.000 0.000 0.000
Cs1 0.333 0.667 0.798
Cs2 0.667 0.333 0.202

Total magnetic moment = 0.00 μB/atom
V = 218.85 Å³ per cell


arrangement x takes first place; second place is 1.3 kJ/mol of atoms up.


Arrangement w

Compound: CsGdTeO
Source: OQMD
Functional: PBE
Structure: relaxed

a = 4.891 Å, b = 9.081 Å, c = 7.236 Å
α = 90.00°, β = 90.00°, γ = 90.00°
Element x y z (fractional)
O1 0.500 0.065 0.236
O2 0.500 0.935 0.736
Gd1 0.500 0.896 0.031
Gd2 0.500 0.104 0.531
Cs1 0.000 0.708 0.611
Cs2 0.000 0.292 0.111
Te1 0.000 0.711 0.113
Te2 0.000 0.289 0.613

Total magnetic moment = 0.00 μB/atom
V = 321.41 Å³ per cell


Arrangement x

Compound: CsGdTeO
Source: OQMD
Functional: PBE
Structure: relaxed

a = 9.873 Å, b = 7.546 Å, c = 6.816 Å
α = 90.00°, β = 100.51°, γ = 90.00°
Element x y z (fractional)
Te1 0.267 0.076 0.869
Te2 0.267 0.424 0.369
Te3 0.733 0.924 0.131
Te4 0.733 0.576 0.631
Gd1 0.493 0.363 0.793
Gd2 0.507 0.637 0.207
Gd3 0.493 0.137 0.293
Gd4 0.507 0.863 0.707
O1 0.433 0.640 0.883
O2 0.433 0.860 0.383
O3 0.567 0.360 0.117
O4 0.567 0.140 0.617
Cs1 0.868 0.079 0.677
Cs2 0.132 0.579 0.823
Cs3 0.868 0.421 0.177
Cs4 0.132 0.921 0.323

Total magnetic moment = 0.00 μB/atom
V = 499.30 Å³ per cell


arrangement x takes first place; second place is 16.2 kJ/mol of atoms up.


Arrangement w

Compound: CsGdYSe3
Source: OQMD
Functional: PBE
Structure: relaxed

a = 8.504 Å, b = 8.504 Å, c = 11.233 Å
α = 90.00°, β = 90.00°, γ = 148.82°
Element x y z (fractional)
Gd1 0.534 0.466 0.750
Gd2 0.466 0.534 0.250
Se1 0.616 0.384 0.539
Se2 0.059 0.941 0.250
Se3 0.616 0.384 0.961
Se4 0.384 0.616 0.039
Se5 0.941 0.059 0.750
Se6 0.384 0.616 0.461
Y1 0.000 0.000 0.500
Y2 0.000 0.000 0.000
Cs1 0.738 0.262 0.250
Cs2 0.262 0.738 0.750

Total magnetic moment = 0.03 μB/atom
V = 420.53 Å³ per cell


Arrangement x

Compound: CsGdYSe3
Source: OQMD
Functional: PBE
Structure: relaxed

a = 8.490 Å, b = 8.490 Å, c = 11.290 Å
α = 90.00°, β = 90.00°, γ = 148.92°
Element x y z (fractional)
Cs1 0.737 0.263 0.250
Cs2 0.263 0.737 0.750
Se1 0.383 0.617 0.042
Se2 0.617 0.383 0.958
Se3 0.942 0.058 0.750
Se4 0.058 0.942 0.250
Se5 0.617 0.383 0.542
Se6 0.383 0.617 0.458
Gd1 0.000 0.000 0.000
Gd2 0.000 0.000 0.500
Y1 0.465 0.535 0.250
Y2 0.535 0.465 0.750

Total magnetic moment = 0.02 μB/atom
V = 420.08 Å³ per cell


arrangement x takes first place; second place is 1.7 kJ/mol of atoms up.


Arrangement w

Compound: CsTbGdTe3
Source: OQMD
Functional: PBE
Structure: relaxed

a = 9.080 Å, b = 9.080 Å, c = 11.922 Å
α = 90.00°, β = 90.00°, γ = 149.23°
Element x y z (fractional)
Te1 0.934 0.066 0.250
Te2 0.066 0.934 0.750
Te3 0.620 0.380 0.041
Te4 0.620 0.380 0.459
Te5 0.380 0.620 0.959
Te6 0.380 0.620 0.541
Tb1 0.468 0.532 0.750
Tb2 0.532 0.468 0.250
Gd1 0.000 0.000 0.500
Gd2 0.000 0.000 0.000
Cs1 0.745 0.255 0.750
Cs2 0.255 0.745 0.250

Total magnetic moment = 0.04 μB/atom
V = 502.91 Å³ per cell


Arrangement x

Compound: CsTbGdTe3
Source: OQMD
Functional: PBE
Structure: relaxed

a = 9.091 Å, b = 9.091 Å, c = 11.879 Å
α = 90.00°, β = 90.00°, γ = 149.23°
Element x y z (fractional)
Te1 0.619 0.381 0.961
Te2 0.381 0.619 0.461
Te3 0.619 0.381 0.539
Te4 0.066 0.934 0.250
Te5 0.381 0.619 0.039
Te6 0.934 0.066 0.750
Cs1 0.255 0.745 0.750
Cs2 0.745 0.255 0.250
Tb1 0.000 0.000 0.000
Tb2 0.000 0.000 0.500
Gd1 0.532 0.468 0.750
Gd2 0.468 0.532 0.250

Total magnetic moment = 0.04 μB/atom
V = 502.25 Å³ per cell


arrangement w takes first place; second place is 0.8 kJ/mol of atoms up.